(1)
First-principles (GGA-PBE) data for a relaxed structure of Tl5Bi2Au4, as listed in Alexandria.

Output
The energy is -64.724 eV/cell. Its total magnetization is 0.0 μB per formula unit. The crystal system is monoclinic.

Cell lengths 22.3834, 3.5565, 8.0943 Å; angles 90.00, 106.28, 90.00 degrees
Space group C2/m (No. 12)
Inequivalent atoms, fractional coordinates:
Tl 0.0000 0.0000 0.0000 (multiplicity 2)
Tl 0.1718 0.5000 0.4031 (multiplicity 4)
Tl 0.1718 0.5000 0.9821 (multiplicity 4)
Bi 0.0753 0.0000 0.6391 (multiplicity 4)
Au 0.0348 0.5000 0.3167 (multiplicity 4)
Au 0.2148 0.0000 0.7214 (multiplicity 4)


(2)
First-principles (GGA-PBE) data for a relaxed structure of Na2BiC2O6, as listed in Alexandria.

Output
The energy is -140.034 eV/cell. Its total magnetization is 1.0 μB per formula unit. As for the raw formation energy: -1.3910 eV per atom. The crystal system is monoclinic.

Cell lengths 10.4288, 5.1369, 6.3191 Å; angles 90.00, 107.15, 90.00 degrees
Space group C2/m (No. 12)
Inequivalent atoms, fractional coordinates:
Na 0.1881 0.0000 0.1283 (multiplicity 4)
Bi 0.0000 0.0000 0.5000 (multiplicity 2)
C 0.0305 0.5000 0.7645 (multiplicity 4)
O 0.0926 0.5000 0.3507 (multiplicity 4)
O 0.0976 0.2814 0.8215 (multiplicity 8)